*a*
The following is a PBE-GGA calculation of crystalline GdY2Ni at its relaxed geometry, from the Alexandria database.

```
data_GdY2Ni
_chemical_formula_sum 'Gd1 Y2 Ni1'
_cell_length_a 3.467
_cell_length_b 3.467
_cell_length_c 8.736
_cell_angle_alpha 90.00
_cell_angle_beta 90.00
_cell_angle_gamma 90.00
_symmetry_space_group_name_H-M 'P 1'
_symmetry_Int_Tables_number 1
loop_
_symmetry_equiv_pos_as_xyz
'x,y,z'
loop_
_atom_site_label
_atom_site_fract_x
_atom_site_fract_y
_atom_site_fract_z
_atom_site_occupancy
Gd1 0.000 0.000 0.000 1
Y1 0.500 0.500 0.315 1
Y2 0.500 0.500 0.685 1
Ni1 0.000 0.000 0.500 1
```

Calculated values
* calculated density: 6.225 g cm⁻³
* size of the total moment: 1.968 μB/atom
* calculated volume: 26.26 A^3/atom

=====

*b*
The following is a PBE-GGA calculation of crystalline GdY2Ni at its relaxed geometry, from the Alexandria database.

```
data_GdY2Ni
_chemical_formula_sum 'Gd1 Y2 Ni1'
_cell_length_a 10.568
_cell_length_b 10.568
_cell_length_c 10.568
_cell_angle_alpha 19.60
_cell_angle_beta 19.60
_cell_angle_gamma 19.60
_symmetry_space_group_name_H-M 'P 1'
_symmetry_Int_Tables_number 1
loop_
_symmetry_equiv_pos_as_xyz
'x,y,z'
loop_
_atom_site_label
_atom_site_fract_x
_atom_site_fract_y
_atom_site_fract_z
_atom_site_occupancy
Gd1 0.000 0.000 0.000 1
Y1 0.111 0.111 0.111 1
Y2 0.889 0.889 0.889 1
Ni1 0.500 0.500 0.500 1
```

Calculated values
* calculated density: 5.631 g cm⁻³
* size of the total moment: 2.018 μB/atom
* calculated volume: 29.03 A^3/atom

=====

Most stable: *a*

=====

*a*
The following is a PBE-GGA calculation of crystalline Gd2ZnNi at its relaxed geometry, from the Alexandria database.

```
data_Gd2ZnNi
_chemical_formula_sum 'Gd2 Zn1 Ni1'
_cell_length_a 4.965
_cell_length_b 4.965
_cell_length_c 4.965
_cell_angle_alpha 60.00
_cell_angle_beta 60.00
_cell_angle_gamma 60.00
_symmetry_space_group_name_H-M 'P 1'
_symmetry_Int_Tables_number 1
loop_
_symmetry_equiv_pos_as_xyz
'x,y,z'
loop_
_atom_site_label
_atom_site_fract_x
_atom_site_fract_y
_atom_site_fract_z
_atom_site_occupancy
Gd1 0.250 0.250 0.250 1
Gd2 0.750 0.750 0.750 1
Zn1 0.000 0.000 0.000 1
Ni1 0.500 0.500 0.500 1
```

Calculated values
* calculated density: 8.418 g cm⁻³
* size of the total moment: 3.551 μB/atom
* calculated volume: 21.63 A^3/atom

=====

*b*
The following is a PBE-GGA calculation of crystalline Gd2ZnNi at its relaxed geometry, from the Alexandria database.

```
data_Gd2ZnNi
_chemical_formula_sum 'Gd2 Zn1 Ni1'
_cell_length_a 3.505
_cell_length_b 3.505
_cell_length_c 7.041
_cell_angle_alpha 90.00
_cell_angle_beta 90.00
_cell_angle_gamma 90.00
_symmetry_space_group_name_H-M 'P 1'
_symmetry_Int_Tables_number 1
loop_
_symmetry_equiv_pos_as_xyz
'x,y,z'
loop_
_atom_site_label
_atom_site_fract_x
_atom_site_fract_y
_atom_site_fract_z
_atom_site_occupancy
Gd1 0.000 0.000 0.234 1
Gd2 0.000 0.000 0.766 1
Zn1 0.500 0.500 0.500 1
Ni1 0.500 0.500 0.000 1
```

Calculated values
* calculated density: 8.421 g cm⁻³
* size of the total moment: 3.586 μB/atom
* calculated volume: 21.62 A^3/atom

=====

Most stable: *b*